# 1
An optimized crystal structure of KAcIrO4, computed with PBE.

```
data_KAcIrO4
_space_group_name_H-M_alt 'I m m a'
_space_group_IT_number 74
_space_group_name_Hall '-I 2b 2'
_cell_length_a 6.629
_cell_length_b 7.803
_cell_length_c 9.484
_cell_angle_alpha 90.00
_cell_angle_beta 90.00
_cell_angle_gamma 90.00
loop_
_atom_site_label
_atom_site_type_symbol
_atom_site_fract_x
_atom_site_fract_y
_atom_site_fract_z
K1 K 0.000 0.250 0.136
Ac1 Ac 0.000 0.000 0.500
Ir1 Ir 0.250 0.250 0.750
O1 O 0.000 0.088 0.756
O2 O 0.223 0.250 0.533
```

Calculated values
Formation energy without anion corrections (eV/atom): -1.74
Calculated volume (Å³ per atom): 17.5

=====

# 2
An optimized crystal structure of K4Ac3IrO8, computed with PBE.

```
data_K4Ac3IrO8
_space_group_name_H-M_alt 'R -3 m'
_space_group_IT_number 166
_space_group_name_Hall '-R 3 2"'
_cell_length_a 7.3400
_cell_length_b 7.3400
_cell_length_c 19.0072
_cell_angle_alpha 90.00
_cell_angle_beta 90.00
_cell_angle_gamma 120.00
loop_
_atom_site_label
_atom_site_type_symbol
_atom_site_fract_x
_atom_site_fract_y
_atom_site_fract_z
K1 K 0.0000 0.0000 0.0000
K2 K 0.0000 0.5000 0.0000
Ac1 Ac 0.0000 0.5000 0.5000
Ir1 Ir 0.0000 0.0000 0.5000
O1 O 0.0000 0.0000 0.2344
O2 O 0.0306 0.5153 0.2307
```

Calculated values
Formation energy without anion corrections (eV/atom): -2.01
Calculated volume (Å³ per atom): 18.5

=====

# 3
An optimized crystal structure of KAc2IrO8, computed with PBE.

```
data_KAc2IrO8
_space_group_name_H-M_alt 'P 1 2/m 1'
_space_group_IT_number 10
_cell_length_a 4.465
_cell_length_b 5.413
_cell_length_c 7.707
_cell_angle_alpha 90.00
_cell_angle_beta 105.98
_cell_angle_gamma 90.00
loop_
_space_group_symop_operation_xyz
'x,y,z'
'-x,-y,-z'
'-x,y,-z'
'x,-y,z'
loop_
_atom_site_label
_atom_site_type_symbol
_atom_site_fract_x
_atom_site_fract_y
_atom_site_fract_z
K1 K 0.000 0.000 0.000
Ac1 Ac 0.377 0.500 0.711
Ir1 Ir 0.000 0.000 0.500
O1 O 0.164 0.500 0.996
O2 O 0.189 0.261 0.396
O3 O 0.337 0.000 0.721
```

Calculated values
Formation energy without anion corrections (eV/atom): -1.84
Calculated volume (Å³ per atom): 14.9